A geometry-optimized Ce3Ga9Ag2 structure, computed with PBE. Values from VASP.

Values from the calculation:
V (Å³/atom): 20.09
M_tot (μB per atom): 0.18
SG: Immm (71)
Energy relative to the elements (kcal/mol of atoms): -9.97

Geometry as Quantum ESPRESSO input:
```
&SYSTEM
  ibrav = 0, nat = 14, ntyp = 3
/
ATOMIC_SPECIES
Ce 140.12 Ce.upf
Ga 69.72 Ga.upf
Ag 107.87 Ag.upf
CELL_PARAMETERS angstrom
4.358 0.000 0.000
2.179 8.187 0.193
2.179 2.044 7.930
ATOMIC_POSITIONS crystal
Ce 0.000 0.000 0.000
Ce 0.684 0.316 0.316
Ce 0.316 0.684 0.684
Ga 0.000 0.500 0.500
Ga 0.668 0.960 0.704
Ga 0.332 0.040 0.296
Ga 0.668 0.704 0.960
Ga 0.332 0.296 0.040
Ga 0.860 0.867 0.413
Ga 0.140 0.133 0.587
Ga 0.860 0.413 0.867
Ga 0.140 0.587 0.133
Ag 0.500 0.280 0.720
Ag 0.500 0.720 0.280
```